# 1
The following is a DFT calculation (PBE) of a geometry-optimized BaBe2Tc structure.

Lattice parameters (Å, degrees): 4.692 4.692 4.692 60.00 60.00 60.00
Element x y z (fractional)
Be (0.250, 0.250, 0.250)
Be (0.750, 0.750, 0.750)
Ba (0.500, 0.500, 0.500)
Tc (0.000, 0.000, 0.000)

Formation energy from the elements = 109 kJ per mole of atoms
Space group = Fm-3m, No. 225
DOS(E_F) = 0.74 states/eV/atom

# 2
The following is a DFT calculation (PBE) of a geometry-optimized BaBe2Tc structure.

Lattice parameters (Å, degrees): 3.979 3.979 6.194 71.28 71.28 59.95
Element x y z (fractional)
Be (0.931, 0.931, 0.207)
Be (0.257, 0.257, 0.229)
Ba (0.749, 0.749, 0.751)
Tc (0.563, 0.563, 0.313)

Formation energy from the elements = 27 kJ per mole of atoms
Space group = Cm, No. 8
DOS(E_F) = 0.50 states/eV/atom

# 3
The following is a DFT calculation (PBE) of a geometry-optimized BaBe4Tc structure.

Lattice parameters (Å, degrees): 4.917 4.917 4.917 60.00 60.00 60.00
Element x y z (fractional)
Ba (0.000, 0.000, 0.000)
Be (0.854, 0.382, 0.382)
Be (0.382, 0.382, 0.854)
Be (0.382, 0.854, 0.382)
Be (0.382, 0.382, 0.382)
Tc (0.750, 0.750, 0.750)

Formation energy from the elements = 65 kJ per mole of atoms
Space group = F-43m, No. 216
DOS(E_F) = 0.79 states/eV/atom

# 4
The following is a DFT calculation (PBE) of a geometry-optimized BaBeTc4 structure.

Lattice parameters (Å, degrees): 5.376 5.376 5.376 60.00 60.00 60.00
Element x y z (fractional)
Ba (0.750, 0.750, 0.750)
Be (0.000, 0.000, 0.000)
Tc (0.878, 0.374, 0.374)
Tc (0.374, 0.374, 0.878)
Tc (0.374, 0.878, 0.374)
Tc (0.374, 0.374, 0.374)

Formation energy from the elements = 92 kJ per mole of atoms
Space group = F-43m, No. 216
DOS(E_F) = 1.08 states/eV/atom

# 5
The following is a DFT calculation (PBE) of a geometry-optimized Ba3BeTc structure.

Lattice parameters (Å, degrees): 5.835 5.835 5.835 90.00 90.00 90.00
Element x y z (fractional)
Be (0.500, 0.500, 0.500)
Ba (0.000, 0.500, 0.000)
Ba (0.000, 0.000, 0.500)
Ba (0.500, 0.000, 0.000)
Tc (0.000, 0.000, 0.000)

Formation energy from the elements = 83 kJ per mole of atoms
Space group = Pm-3m, No. 221
DOS(E_F) = 1.06 states/eV/atom

# 6
The following is a DFT calculation (PBE) of a geometry-optimized BaBe2Tc structure.

Lattice parameters (Å, degrees): 5.016 5.016 5.016 130.42 130.42 72.74
Element x y z (fractional)
Be (0.000, 0.000, 0.000)
Be (0.250, 0.750, 0.500)
Ba (0.750, 0.250, 0.500)
Tc (0.500, 0.500, 0.000)

Formation energy from the elements = 122 kJ per mole of atoms
Space group = I-4m2, No. 119
DOS(E_F) = 0.51 states/eV/atom

# 7
The following is a DFT calculation (PBE) of a geometry-optimized BaBeTc structure.

Lattice parameters (Å, degrees): 4.008 4.008 5.094 90.00 90.00 120.00
Element x y z (fractional)
Be (0.667, 0.333, 0.479)
Ba (0.000, 0.000, 0.003)
Tc (0.333, 0.667, 0.518)

Formation energy from the elements = 73 kJ per mole of atoms
Space group = P3m1, No. 156
DOS(E_F) = 0.66 states/eV/atom

# 8
The following is a DFT calculation (PBE) of a geometry-optimized BaBe2Tc structure.

Lattice parameters (Å, degrees): 7.024 4.898 2.886 90.13 65.55 126.52
Element x y z (fractional)
Be (0.000, 0.000, 0.000)
Be (0.500, 0.000, 0.500)
Ba (0.500, 0.500, 0.000)
Tc (0.000, 0.500, 0.500)

Formation energy from the elements = 103 kJ per mole of atoms
Space group = C2/m, No. 12
DOS(E_F) = 0.68 states/eV/atom

# 9
The following is a DFT calculation (PBE) of a geometry-optimized BaBe2Tc structure.

Lattice parameters (Å, degrees): 3.180 3.168 7.580 65.53 90.00 90.00
Element x y z (fractional)
Be (0.000, 0.894, 0.106)
Be (0.000, 0.606, 0.394)
Ba (0.500, 0.750, 0.750)
Tc (0.500, 0.250, 0.250)

Formation energy from the elements = 33 kJ per mole of atoms
Space group = P2/m, No. 10
DOS(E_F) = 0.79 states/eV/atom

# 10
The following is a DFT calculation (PBE) of a geometry-optimized BaBe2Tc structure.

Lattice parameters (Å, degrees): 2.861 4.897 4.897 90.00 90.00 90.00
Element x y z (fractional)
Be (0.000, 0.000, 0.000)
Be (0.000, 0.500, 0.500)
Ba (0.500, 0.000, 0.500)
Tc (0.500, 0.500, 0.000)

Formation energy from the elements = 104 kJ per mole of atoms
Space group = P4/mmm, No. 123
DOS(E_F) = 0.66 states/eV/atom

# 11
The following is a DFT calculation (PBE) of a geometry-optimized BaBeTc structure.

Lattice parameters (Å, degrees): 6.160 6.160 3.316 74.39 74.39 31.22
Element x y z (fractional)
Be (0.265, 0.265, 0.735)
Ba (0.003, 0.003, 0.997)
Tc (0.732, 0.732, 0.268)

Formation energy from the elements = 55 kJ per mole of atoms
Space group = I4mm, No. 107
DOS(E_F) = 1.18 states/eV/atom

# 12
The following is a DFT calculation (PBE) of a geometry-optimized BaBe2Tc structure.

Lattice parameters (Å, degrees): 4.648 4.648 8.645 74.41 74.41 90.00
Element x y z (fractional)
Be (0.375, 0.125, 0.250)
Be (0.375, 0.625, 0.250)
Be (0.375, 0.625, 0.750)
Be (0.875, 0.625, 0.750)
Ba (0.000, 0.000, 0.000)
Ba (0.750, 0.250, 0.500)
Tc (0.500, 0.500, 0.000)
Tc (0.250, 0.750, 0.500)

Formation energy from the elements = 65 kJ per mole of atoms
Space group = I4_1/amd, No. 141
DOS(E_F) = 0.70 states/eV/atom

# 13
The following is a DFT calculation (PBE) of a geometry-optimized BaBeTc3 structure.

Lattice parameters (Å, degrees): 4.501 4.501 4.501 90.00 90.00 90.00
Element x y z (fractional)
Be (0.000, 0.000, 0.000)
Ba (0.500, 0.500, 0.500)
Tc (0.000, 0.500, 0.000)
Tc (0.000, 0.000, 0.500)
Tc (0.500, 0.000, 0.000)

Formation energy from the elements = 108 kJ per mole of atoms
Space group = Pm-3m, No. 221
DOS(E_F) = 1.33 states/eV/atom

# 14
The following is a DFT calculation (PBE) of a geometry-optimized BaBe2Tc structure.

Lattice parameters (Å, degrees): 3.457 3.382 6.624 75.21 90.00 90.00
Element x y z (fractional)
Be (0.000, 0.136, 0.104)
Be (0.500, 0.039, 0.297)
Ba (0.500, 0.803, 0.769)
Tc (0.000, 0.522, 0.331)

Formation energy from the elements = 39 kJ per mole of atoms
Space group = Amm2, No. 38
DOS(E_F) = 0.66 states/eV/atom

# 15
The following is a DFT calculation (PBE) of a geometry-optimized BaBe2Tc structure.

Lattice parameters (Å, degrees): 5.480 5.480 5.480 143.97 116.96 74.81
Element x y z (fractional)
Be (0.922, 0.922, 0.000)
Be (0.578, 0.578, 0.000)
Ba (0.250, 0.750, 0.500)
Tc (0.750, 0.250, 0.500)

Formation energy from the elements = 85 kJ per mole of atoms
Space group = Immm, No. 71
DOS(E_F) = 0.75 states/eV/atom

# 16
The following is a DFT calculation (PBE) of a geometry-optimized Ba2BeTc2 structure.

Lattice parameters (Å, degrees): 6.718 6.718 5.257 90.00 90.00 90.00
Element x y z (fractional)
Be (0.000, 0.000, 0.000)
Be (0.500, 0.500, 0.000)
Ba (0.188, 0.688, 0.500)
Ba (0.688, 0.812, 0.500)
Ba (0.812, 0.312, 0.500)
Ba (0.312, 0.188, 0.500)
Tc (0.379, 0.879, 0.000)
Tc (0.879, 0.621, 0.000)
Tc (0.621, 0.121, 0.000)
Tc (0.121, 0.379, 0.000)

Formation energy from the elements = 75 kJ per mole of atoms
Space group = P4/mbm, No. 127
DOS(E_F) = 0.74 states/eV/atom

# 17
The following is a DFT calculation (PBE) of a geometry-optimized BaBeTc structure.

Lattice parameters (Å, degrees): 4.640 4.640 4.640 60.00 60.00 60.00
Element x y z (fractional)
Be (0.750, 0.750, 0.750)
Ba (0.500, 0.500, 0.500)
Tc (0.000, 0.000, 0.000)

Formation energy from the elements = 127 kJ per mole of atoms
Space group = F-43m, No. 216
DOS(E_F) = 1.14 states/eV/atom

# 18
The following is a DFT calculation (PBE) of a geometry-optimized Ba2BeTc2 structure.

Lattice parameters (Å, degrees): 6.238 6.238 5.671 56.64 56.64 90.00
Element x y z (fractional)
Be (0.000, 0.000, 0.000)
Ba (0.750, 0.250, 0.500)
Ba (0.250, 0.750, 0.500)
Tc (0.342, 0.342, 0.316)
Tc (0.658, 0.658, 0.684)

Formation energy from the elements = 108 kJ per mole of atoms
Space group = I4/mmm, No. 139
DOS(E_F) = 1.30 states/eV/atom

# 19
The following is a DFT calculation (PBE) of a geometry-optimized BaBe2Tc structure.

Lattice parameters (Å, degrees): 6.176 6.176 6.176 37.96 37.96 37.96
Element x y z (fractional)
Be (0.932, 0.932, 0.932)
Be (0.568, 0.568, 0.568)
Ba (0.750, 0.750, 0.750)
Tc (0.250, 0.250, 0.250)

Formation energy from the elements = 31 kJ per mole of atoms
Space group = R-3m, No. 166
DOS(E_F) = 0.65 states/eV/atom

# 20
The following is a DFT calculation (PBE) of a geometry-optimized BaBeTc3 structure.

Lattice parameters (Å, degrees): 5.009 5.009 5.009 90.00 90.00 90.00
Element x y z (fractional)
Be (0.500, 0.500, 0.500)
Ba (0.000, 0.000, 0.000)
Tc (0.000, 0.500, 0.000)
Tc (0.000, 0.000, 0.500)
Tc (0.500, 0.000, 0.000)

Formation energy from the elements = 316 kJ per mole of atoms
Space group = Pm-3m, No. 221
DOS(E_F) = 1.04 states/eV/atom

# 21
The following is a DFT calculation (PBE) of a geometry-optimized Ba2TiBeTc structure.

Lattice parameters (Å, degrees): 6.143 4.534 6.143 90.00 90.00 90.00
Element x y z (fractional)
Be (0.500, 0.500, 0.500)
Ti (0.000, 0.500, 0.000)
Ba (0.000, 0.000, 0.500)
Ba (0.500, 0.000, 0.000)
Tc (0.000, 0.000, 0.000)

Formation energy from the elements = 90 kJ per mole of atoms
Space group = P4/mmm, No. 123
DOS(E_F) = 1.91 states/eV/atom

# 22
The following is a DFT calculation (PBE) of a geometry-optimized BaBeTl2Tc structure.

Lattice parameters (Å, degrees): 5.361 5.361 4.642 90.00 90.00 90.00
Element x y z (fractional)
Be (0.000, 0.000, 0.500)
Tl (0.000, 0.500, 0.000)
Tl (0.500, 0.000, 0.000)
Ba (0.500, 0.500, 0.500)
Tc (0.000, 0.000, 0.000)

Formation energy from the elements = 18 kJ per mole of atoms
Space group = P4/mmm, No. 123
DOS(E_F) = 0.58 states/eV/atom

# 23
The following is a DFT calculation (PBE) of a geometry-optimized BaZrBe2Tc structure.

Lattice parameters (Å, degrees): 4.526 5.445 4.526 90.00 90.00 90.00
Element x y z (fractional)
Be (0.000, 0.000, 0.500)
Be (0.500, 0.000, 0.000)
Ba (0.000, 0.000, 0.000)
Zr (0.000, 0.500, 0.000)
Tc (0.500, 0.500, 0.500)

Formation energy from the elements = 251 kJ per mole of atoms
Space group = P4/mmm, No. 123
DOS(E_F) = 1.08 states/eV/atom

# 24
The following is a DFT calculation (PBE) of a geometry-optimized Ba2BeTe structure.

Lattice parameters (Å, degrees): 4.411 9.011 9.012 118.71 90.04 90.02
Element x y z (fractional)
Be (0.355, 0.463, 0.523)
Be (0.855, 0.413, 0.473)
Te (0.358, 0.665, 0.057)
Te (0.358, 0.998, 0.723)
Ba (0.858, 0.709, 0.371)
Ba (0.857, 0.756, 0.815)
Ba (0.858, 0.312, 0.768)
Ba (0.357, 0.140, 0.199)

Formation energy from raw total energies = -2.385 eV/f.u.
Space group = P1, No. 1
DOS(E_F) = 0.33 states/eV/atom

# 25
The following is a DFT calculation (PBE) of a geometry-optimized Ba2BeTe structure.

Lattice parameters (Å, degrees): 6.829 6.829 6.829 144.88 133.76 59.36
Element x y z (fractional)
Be (0.452, 0.452, 0.000)
Te (0.312, 0.812, 0.500)
Ba (0.012, 0.012, 0.000)
Ba (0.724, 0.224, 0.500)

Formation energy from raw total energies = -1.399 eV/f.u.
Space group = Imm2, No. 44
DOS(E_F) = 0.67 states/eV/atom

# 26
The following is a DFT calculation (PBE) of a geometry-optimized BaBeTe structure.

Lattice parameters (Å, degrees): 5.566 5.566 5.566 60.00 60.00 60.00
Element x y z (fractional)
Be (0.000, 0.000, 0.000)
Te (0.500, 0.500, 0.500)
Ba (0.250, 0.250, 0.250)

Formation energy from raw total energies = 0.075 eV/f.u.
Space group = F-43m, No. 216

# 27
The following is a DFT calculation (PBE) of a geometry-optimized Ba2BeTe structure.

Lattice parameters (Å, degrees): 5.851 5.851 5.851 60.00 60.00 60.00
Element x y z (fractional)
Be (0.000, 0.000, 0.000)
Te (0.500, 0.500, 0.500)
Ba (0.250, 0.250, 0.250)
Ba (0.750, 0.750, 0.750)

Formation energy from raw total energies = -1.209 eV/f.u.
Space group = Fm-3m, No. 225
DOS(E_F) = 1.19 states/eV/atom

# 28
The following is a DFT calculation (PBE) of a geometry-optimized BaBeTe2 structure.

Lattice parameters (Å, degrees): 7.984 7.984 7.984 31.01 31.01 31.01
Element x y z (fractional)
Be (0.670, 0.670, 0.670)
Te (0.059, 0.059, 0.059)
Te (0.271, 0.271, 0.271)
Ba (0.500, 0.500, 0.500)

Formation energy from raw total energies = -2.396 eV/f.u.
Space group = R3m, No. 160

# 29
The following is a DFT calculation (PBE) of a geometry-optimized Ba2BeTe structure.

Lattice parameters (Å, degrees): 4.343 6.567 11.848 86.06 82.52 74.23
Element x y z (fractional)
Be (0.364, 0.266, 0.407)
Be (0.866, 0.226, 0.435)
Te (0.588, 0.280, 0.905)
Te (0.304, 0.720, 0.159)
Ba (0.878, 0.733, 0.930)
Ba (0.685, 0.751, 0.402)
Ba (0.015, 0.260, 0.165)
Ba (0.191, 0.238, 0.668)

Formation energy from raw total energies = -2.298 eV/f.u.
Space group = P1, No. 1
DOS(E_F) = 0.76 states/eV/atom